AcPS3 | GGA-PBE | relaxed

Geometry as POSCAR:
```
AcPS3
1.0
7.755 0.000 0.000
0.000 6.383 0.000
0.000 0.000 9.749
Ac P S
4 4 12
direct
0.114 0.045 0.000
0.386 0.545 0.500
0.614 0.455 0.000
0.886 0.955 0.500
0.066 0.535 0.216
0.434 0.035 0.716
0.566 0.965 0.216
0.934 0.465 0.716
0.004 0.588 0.005
0.172 0.824 0.291
0.201 0.850 0.699
0.299 0.350 0.199
0.328 0.324 0.791
0.496 0.088 0.505
0.504 0.912 0.005
0.672 0.676 0.291
0.701 0.650 0.699
0.799 0.150 0.199
0.828 0.176 0.791
0.996 0.412 0.505
```

Results
Theoretical density = 4.87 Mg/m³
Energy relative to the elements, uncorrected = -1188.7 meV per atom
Crystal system = orthorhombic
Polymorph energy (0 for the lowest one) = 0.0 kJ per mole of atoms

=====

Cs12Na5Au3 | GGA-PBE | relaxed

Geometry as POSCAR:
```
Cs12Na5Au3
1.0
-11.653 11.653 11.653
11.653 -11.653 11.653
11.653 11.653 -11.653
Cs Na Au
48 20 12
direct
0.057 0.628 0.385
0.057 0.929 0.672
0.071 0.243 0.128
0.071 0.328 0.943
0.115 0.743 0.672
0.115 0.872 0.443
0.128 0.071 0.243
0.128 0.557 0.885
0.172 0.243 0.615
0.172 0.429 0.557
0.243 0.128 0.071
0.243 0.615 0.172
0.257 0.328 0.885
0.257 0.429 0.372
0.328 0.885 0.257
0.328 0.943 0.071
0.372 0.257 0.429
0.372 0.615 0.943
0.385 0.057 0.628
0.385 0.828 0.757
0.429 0.372 0.257
0.429 0.557 0.172
0.443 0.115 0.872
0.443 0.828 0.571
0.557 0.172 0.429
0.557 0.885 0.128
0.571 0.443 0.828
0.571 0.628 0.743
0.615 0.172 0.243
0.615 0.943 0.372
0.628 0.385 0.057
0.628 0.743 0.571
0.672 0.057 0.929
0.672 0.115 0.743
0.743 0.571 0.628
0.743 0.672 0.115
0.757 0.385 0.828
0.757 0.872 0.929
0.828 0.571 0.443
0.828 0.757 0.385
0.872 0.443 0.115
0.872 0.929 0.757
0.885 0.128 0.557
0.885 0.257 0.328
0.929 0.672 0.057
0.929 0.757 0.872
0.943 0.071 0.328
0.943 0.372 0.615
0.000 0.000 0.000
0.000 0.000 0.500
0.000 0.500 0.000
0.000 0.500 0.500
0.125 0.750 0.875
0.125 0.875 0.250
0.250 0.125 0.875
0.250 0.625 0.375
0.375 0.250 0.625
0.375 0.625 0.750
0.500 0.000 0.000
0.500 0.000 0.500
0.500 0.500 0.000
0.500 0.500 0.500
0.625 0.375 0.250
0.625 0.750 0.375
0.750 0.375 0.625
0.750 0.875 0.125
0.875 0.125 0.750
0.875 0.250 0.125
0.125 0.250 0.375
0.125 0.375 0.750
0.250 0.375 0.125
0.250 0.875 0.625
0.375 0.125 0.250
0.375 0.750 0.125
0.625 0.250 0.875
0.625 0.875 0.750
0.750 0.125 0.375
0.750 0.625 0.875
0.875 0.625 0.250
0.875 0.750 0.625
```

Results
Theoretical density = 2.41 Mg/m³
Total DFT energy (no corrections) = -101.91 eV per cell
Crystal system = cubic

=====

LaSi3As | GGA-PBE | relaxed

Geometry as POSCAR:
```
LaSi3As
1.0
4.869 0.000 0.000
0.000 4.869 0.000
0.000 0.000 4.869
La Si As
1 3 1
direct
0.000 0.000 0.000
0.000 0.500 0.500
0.500 0.000 0.500
0.500 0.500 0.000
0.500 0.500 0.500
```

Results
Theoretical density = 4.29 Mg/m³
Energy relative to the elements, uncorrected = 355.9 meV per atom
Crystal system = cubic
Polymorph energy (0 for the lowest one) = 0.0 kJ per mole of atoms

=====

Te2PtI | GGA-PBE | relaxed

Geometry as POSCAR:
```
Te2PtI
1.0
-4.033 4.033 4.187
4.033 -4.033 4.187
4.033 4.033 -4.187
Te Pt I
4 2 2
direct
0.134 0.634 0.767
0.366 0.134 0.500
0.634 0.866 0.500
0.866 0.366 0.233
0.250 0.750 0.500
0.750 0.250 0.500
0.250 0.250 0.000
0.750 0.750 0.000
```

Results
Theoretical density = 7.04 Mg/m³
Energy relative to the elements, uncorrected = 95.9 meV per atom
Crystal system = tetragonal

=====

YSc2W | GGA-PBE | relaxed

Geometry as POSCAR:
```
YSc2W
1.0
1.581 0.913 10.546
-1.581 0.913 10.546
0.000 -1.826 10.546
Y Sc W
1 2 1
direct
0.000 0.000 0.000
0.515 0.515 0.515
0.759 0.759 0.759
0.254 0.254 0.254
```

Results
Theoretical density = 6.59 Mg/m³
Crystal system = trigonal
Polymorph energy (0 for the lowest one) = 16.0 kJ per mole of atoms

=====

BaLiHf2Ni | GGA-PBE | relaxed

Geometry as POSCAR:
```
BaLiHf2Ni
1.0
5.330 0.000 0.000
0.000 5.330 0.000
0.000 0.000 4.530
Ba Li Hf Ni
1 1 2 1
direct
0.000 0.000 0.000
0.000 0.000 0.500
0.000 0.500 0.000
0.500 0.000 0.000
0.500 0.500 0.500
```

Results
Theoretical density = 7.22 Mg/m³
Total DFT energy (no corrections) = -19.34 eV per cell
Crystal system = tetragonal

=====

TmWN3 | GGA-PBE | relaxed

Geometry as POSCAR:
```
TmWN3
1.0
5.600 -4.774 0.000
5.600 4.774 0.000
-2.424 0.000 5.753
Tm W N
4 4 12
direct
0.090 0.910 0.750
0.283 0.717 0.250
0.717 0.283 0.750
0.910 0.090 0.250
0.201 0.380 0.781
0.380 0.201 0.281
0.620 0.799 0.719
0.799 0.620 0.219
0.002 0.217 0.655
0.115 0.628 0.836
0.217 0.002 0.155
0.335 0.377 0.089
0.372 0.885 0.664
0.377 0.335 0.589
0.623 0.665 0.411
0.628 0.115 0.336
0.665 0.623 0.911
0.783 0.998 0.845
0.885 0.372 0.164
0.998 0.783 0.345
```

Results
Theoretical density = 8.52 Mg/m³
Energy relative to the elements, uncorrected = -1027.0 meV per atom
Crystal system = monoclinic

=====

CoP2W | GGA-PBE | relaxed

Geometry as POSCAR:
```
CoP2W
1.0
0.000 2.935 2.935
2.935 0.000 2.935
2.935 2.935 0.000
Co P W
1 2 1
direct
0.000 0.000 0.000
0.250 0.250 0.250
0.750 0.750 0.750
0.500 0.500 0.500
```

Results
Theoretical density = 10.01 Mg/m³
Total DFT energy (no corrections) = -31.08 eV per cell
Crystal system = cubic

=====

TiNbNiW | GGA-PBE | relaxed

Geometry as POSCAR:
```
TiNbNiW
1.0
0.000 3.142 3.142
3.142 0.000 3.142
3.142 3.142 0.000
Ti Nb Ni W
1 1 1 1
direct
0.000 0.000 0.000
0.500 0.500 0.500
0.250 0.250 0.250
0.750 0.750 0.750
```

Results
Theoretical density = 10.26 Mg/m³
Total DFT energy (no corrections) = -37.06 eV per cell
Crystal system = cubic

=====

NaTlF3 | GGA-PBE | relaxed

Geometry as POSCAR:
```
NaTlF3
1.0
4.666 0.000 0.000
0.000 4.666 0.000
0.000 0.000 4.666
Na Tl F
1 1 3
direct
0.000 0.000 0.000
0.500 0.500 0.500
0.000 0.500 0.500
0.500 0.000 0.500
0.500 0.500 0.000
```

Results
Theoretical density = 4.65 Mg/m³
Energy relative to the elements, uncorrected = -1958.1 meV per atom
Crystal system = cubic
Polymorph energy (0 for the lowest one) = 18.8 kJ per mole of atoms

=====

Ho2PuTh | GGA-PBE | relaxed

Geometry as POSCAR:
```
Ho2PuTh
1.0
4.015 0.000 0.000
0.000 4.015 0.000
0.000 0.000 7.568
Ho Pu Th
2 1 1
direct
0.000 0.000 0.236
0.000 0.000 0.764
0.500 0.500 0.000
0.500 0.500 0.500
```

Results
Theoretical density = 10.97 Mg/m³
Crystal system = tetragonal
Polymorph energy (0 for the lowest one) = 0.0 kJ per mole of atoms

=====

Tm2PI3 | GGA-PBE | relaxed

Geometry as POSCAR:
```
Tm2PI3
1.0
10.763 -2.116 0.000
10.763 2.116 0.000
-9.865 0.000 10.767
Tm P I
4 2 6
direct
0.084 0.084 0.188
0.366 0.366 0.043
0.634 0.634 0.957
0.916 0.916 0.812
0.086 0.086 0.006
0.914 0.914 0.994
0.173 0.173 0.834
0.278 0.278 0.681
0.460 0.460 0.696
0.540 0.540 0.304
0.722 0.722 0.319
0.827 0.827 0.166
```

Results
Theoretical density = 5.08 Mg/m³
Energy relative to the elements, uncorrected = -1283.2 meV per atom
Crystal system = monoclinic

=====

> What is the theoretical density in the eighth record?

10.01 Mg/m³

=====

> theoretical density of number 10 (NaTlF3)?

4.65 Mg/m³